[1]
FeHgCl2: relaxed, PBE.

Computed properties:
Crystal system: orthorhombic
Distance to the lowest polymorph of the same formula: 0.7366 eV/atom

The structure in CIF format:
```
data_FeHgCl2
_chemical_formula_sum 'Fe1 Hg1 Cl2'
_symmetry_space_group_name_H-M 'P 1'
_symmetry_Int_Tables_number 1
_cell_length_a 3.7600
_cell_length_b 5.9678
_cell_length_c 4.0319
_cell_angle_alpha 90.00
_cell_angle_beta 90.00
_cell_angle_gamma 90.00
loop_
_symmetry_equiv_pos_as_xyz
'x,y,z'
loop_
_atom_site_label
_atom_site_fract_x
_atom_site_fract_y
_atom_site_fract_z
Hg1 0.0000 0.5000 0.5000
Cl1 0.0000 0.0000 0.0000
Cl2 0.5000 0.5000 0.0000
Fe1 0.5000 0.0000 0.5000
```

[2]
FeHgCl2: relaxed, PBE.

Computed properties:
Crystal system: monoclinic
Distance to the lowest polymorph of the same formula: 0.1234 eV/atom

The structure in CIF format:
```
data_FeHgCl2
_chemical_formula_sum 'Fe1 Hg1 Cl2'
_symmetry_space_group_name_H-M 'P 1'
_symmetry_Int_Tables_number 1
_cell_length_a 3.4223
_cell_length_b 6.2256
_cell_length_c 5.7959
_cell_angle_alpha 66.45
_cell_angle_beta 90.00
_cell_angle_gamma 90.00
loop_
_symmetry_equiv_pos_as_xyz
'x,y,z'
loop_
_atom_site_label
_atom_site_fract_x
_atom_site_fract_y
_atom_site_fract_z
Fe1 0.0000 0.5720 0.3880
Cl1 0.5000 0.3172 0.3824
Cl2 0.0000 0.8959 0.0435
Hg1 0.5000 0.7148 0.6861
```

[3]
FeHgCl3: relaxed, PBE.

Computed properties:
Crystal system: cubic
Distance to the lowest polymorph of the same formula: 0.4026 eV/atom

The structure in CIF format:
```
data_FeHgCl3
_chemical_formula_sum 'Fe1 Hg1 Cl3'
_symmetry_space_group_name_H-M 'P 1'
_symmetry_Int_Tables_number 1
_cell_length_a 4.6826
_cell_length_b 4.6826
_cell_length_c 4.6826
_cell_angle_alpha 90.00
_cell_angle_beta 90.00
_cell_angle_gamma 90.00
loop_
_symmetry_equiv_pos_as_xyz
'x,y,z'
loop_
_atom_site_label
_atom_site_fract_x
_atom_site_fract_y
_atom_site_fract_z
Fe1 0.0000 0.0000 0.0000
Cl1 0.0000 0.0000 0.5000
Cl2 0.5000 0.0000 0.0000
Cl3 0.0000 0.5000 0.0000
Hg1 0.5000 0.5000 0.5000
```

[4]
FeHg2Cl2: relaxed, PBE.

Computed properties:
Crystal system: tetragonal
Distance to the lowest polymorph of the same formula: 0.7447 eV/atom

The structure in CIF format:
```
data_FeHg2Cl2
_chemical_formula_sum 'Fe1 Hg2 Cl2'
_symmetry_space_group_name_H-M 'P 1'
_symmetry_Int_Tables_number 1
_cell_length_a 6.8718
_cell_length_b 6.8718
_cell_length_c 6.8718
_cell_angle_alpha 140.38
_cell_angle_beta 140.38
_cell_angle_gamma 57.27
loop_
_symmetry_equiv_pos_as_xyz
'x,y,z'
loop_
_atom_site_label
_atom_site_fract_x
_atom_site_fract_y
_atom_site_fract_z
Cl1 0.2500 0.7500 0.5000
Hg1 0.6113 0.6113 0.0000
Cl2 0.7500 0.2500 0.5000
Fe1 0.0000 0.0000 0.0000
Hg2 0.3887 0.3887 0.0000
```

[5]
Fe2HgCl8: relaxed, PBE.

Computed properties:
Crystal system: monoclinic

The structure in CIF format:
```
data_Fe2HgCl8
_chemical_formula_sum 'Fe2 Hg1 Cl8'
_symmetry_space_group_name_H-M 'P 1'
_symmetry_Int_Tables_number 1
_cell_length_a 6.2739
_cell_length_b 7.7256
_cell_length_c 7.7256
_cell_angle_alpha 82.20
_cell_angle_beta 86.17
_cell_angle_gamma 86.17
loop_
_symmetry_equiv_pos_as_xyz
'x,y,z'
loop_
_atom_site_label
_atom_site_fract_x
_atom_site_fract_y
_atom_site_fract_z
Cl1 0.7545 0.6144 0.6144
Cl2 0.2809 0.8028 0.8028
Cl3 0.2392 0.9382 0.2845
Cl4 0.2392 0.2845 0.9382
Cl5 0.2455 0.3856 0.3856
Cl6 0.7608 0.7155 0.0618
Hg1 0.0000 0.0000 0.0000
Cl7 0.7608 0.0618 0.7155
Cl8 0.7191 0.1972 0.1972
Fe1 0.6373 0.7929 0.7929
Fe2 0.3627 0.2071 0.2071
```

[6]
FeHgCl2: relaxed, PBE.

Computed properties:
Crystal system: trigonal
Distance to the lowest polymorph of the same formula: 0.2261 eV/atom

The structure in CIF format:
```
data_FeHgCl2
_chemical_formula_sum 'Fe1 Hg1 Cl2'
_symmetry_space_group_name_H-M 'P 1'
_symmetry_Int_Tables_number 1
_cell_length_a 10.3337
_cell_length_b 10.3337
_cell_length_c 10.3337
_cell_angle_alpha 18.99
_cell_angle_beta 18.99
_cell_angle_gamma 18.99
loop_
_symmetry_equiv_pos_as_xyz
'x,y,z'
loop_
_atom_site_label
_atom_site_fract_x
_atom_site_fract_y
_atom_site_fract_z
Hg1 0.0000 0.0000 0.0000
Fe1 0.5000 0.5000 0.5000
Cl1 0.8729 0.8729 0.8729
Cl2 0.1271 0.1271 0.1271
```

[7]
Fe2HgCl8: relaxed, PBE.

Computed properties:
Crystal system: monoclinic

The structure in CIF format:
```
data_Fe2HgCl8
_chemical_formula_sum 'Fe2 Hg1 Cl8'
_symmetry_space_group_name_H-M 'P 1'
_symmetry_Int_Tables_number 1
_cell_length_a 6.2997
_cell_length_b 7.9651
_cell_length_c 7.9651
_cell_angle_alpha 67.97
_cell_angle_beta 85.70
_cell_angle_gamma 85.70
loop_
_symmetry_equiv_pos_as_xyz
'x,y,z'
loop_
_atom_site_label
_atom_site_fract_x
_atom_site_fract_y
_atom_site_fract_z
Cl1 0.2828 0.8270 0.8270
Cl2 0.2481 0.3401 0.3401
Cl3 0.7613 0.7047 0.0993
Fe1 0.3622 0.1821 0.1821
Cl4 0.2387 0.9007 0.2953
Fe2 0.6378 0.8179 0.8179
Hg1 0.0000 0.0000 0.0000
Cl5 0.7519 0.6599 0.6599
Cl6 0.7172 0.1730 0.1730
Cl7 0.2387 0.2953 0.9007
Cl8 0.7613 0.0993 0.7047
```

[8]
FeHgCl3: relaxed, PBE.

Computed properties:
Crystal system: cubic
Distance to the lowest polymorph of the same formula: 0.8477 eV/atom

The structure in CIF format:
```
data_FeHgCl3
_chemical_formula_sum 'Fe1 Hg1 Cl3'
_symmetry_space_group_name_H-M 'P 1'
_symmetry_Int_Tables_number 1
_cell_length_a 5.2599
_cell_length_b 5.2599
_cell_length_c 5.2599
_cell_angle_alpha 90.00
_cell_angle_beta 90.00
_cell_angle_gamma 90.00
loop_
_symmetry_equiv_pos_as_xyz
'x,y,z'
loop_
_atom_site_label
_atom_site_fract_x
_atom_site_fract_y
_atom_site_fract_z
Cl1 0.0000 0.5000 0.0000
Fe1 0.5000 0.5000 0.5000
Hg1 0.0000 0.0000 0.0000
Cl2 0.5000 0.0000 0.0000
Cl3 0.0000 0.0000 0.5000
```

Calculated values (eV per atom) of total DFT energy (no corrections) for the records, taken in order: -2.90; -3.51; -3.02; -2.04; -3.60; -3.41; -3.60; -2.57.